Record 1
A plane-wave DFT calculation with meta-GGA SCAN was carried out for K2NaAsCl6 at its PBEsol-relaxed geometry.

Summary:
E_tot	-418.5	eV/cell
ΔE_f (raw)	-1.570	eV per atom
Fermi-level density of states	0.00	states/eV/atom

Lattice parameters (Å, degrees): 10.2695 10.2695 10.2695 90.00 90.00 90.00
With the nearest neighbours (Å) after each atom.
Space group Fm-3m (No. 225)
One atom of each set of equivalent atoms:
K 0.2500 0.2500 0.2500  12 Cl 3.63
Na 0.0000 0.0000 0.0000  6 Cl 2.67
As 0.0000 0.0000 0.5000  6 Cl 2.47
Cl 0.0000 0.0000 0.2598  1 As 2.47, 1 Na 2.67

Record 2
A plane-wave DFT calculation with meta-GGA SCAN was carried out for TaNbTe2I at its PBEsol-relaxed geometry.

Summary:
E_tot	-205.3	eV/cell
ΔE_f (raw)	1.122	eV per atom
Fermi-level density of states	0.69	states/eV/atom

Lattice parameters (Å, degrees): 5.3266 5.3266 5.3205 90.00 90.00 90.00
With the nearest neighbours (Å) after each atom.
Space group P4/mmm (No. 123)
One atom of each set of equivalent atoms:
Ta 0.0000 0.0000 0.0000  8 Te 3.76, 4 I 3.77
Nb 0.5000 0.5000 0.5000  2 I 2.66, 4 Te 2.66
Te 0.0000 0.5000 0.5000  2 Nb 2.66
I 0.5000 0.5000 0.0000  2 Nb 2.66

Record 3
A plane-wave DFT calculation with meta-GGA SCAN was carried out for CoSiSe2Br at its PBEsol-relaxed geometry.

Summary:
E_tot	-83.8	eV/cell
ΔE_f (raw)	0.619	eV per atom
Fermi-level density of states	0.69	states/eV/atom

Lattice parameters (Å, degrees): 4.7710 4.7710 4.8918 90.00 90.00 90.00
With the nearest neighbours (Å) after each atom.
Space group P4/mmm (No. 123)
One atom of each set of equivalent atoms:
Co 0.0000 0.0000 0.0000  4 Br 3.37, 8 Se 3.42
Si 0.5000 0.5000 0.5000  4 Se 2.39, 2 Br 2.45
Se 0.0000 0.5000 0.5000  2 Si 2.39
Br 0.5000 0.5000 0.0000  2 Si 2.45

> Among the records above, which one has the highest E_tot?

CoSiSe2Br